DFT (PBEsol) results for crystalline ZnSeO4 at its relaxed geometry.

Structure (POSCAR):
```
ZnSeO4
1.0
-1.3258 -4.6169 -0.2409
4.7316 -1.3514 -0.1409
0.0817 -0.3337 5.9451
O Zn Se
8 2 2
Direct
0.6815 0.3131 0.5000 O
0.6678 0.8283 0.2163 O
0.1266 0.6633 0.5000 O
0.1678 0.1717 0.2837 O
0.6266 0.3367 0.0000 O
0.6678 0.8283 0.7837 O
0.1815 0.6869 0.0000 O
0.1678 0.1717 0.7163 O
0.4617 0.9343 0.5000 Zn
0.9617 0.0657 0.0000 Zn
0.0227 0.3459 0.5000 Se
0.5227 0.6541 0.0000 Se
```

Summary:
final energy	-5.262	eV/atom
uncorrected formation energy	-858	meV/atom
space group	Pmn2_1
D(E_F)	0.00	states/eV per cell

***

DFT (PBEsol) results for crystalline ZrMn2HgOs at its relaxed geometry.

Structure (POSCAR):
```
ZrMn2HgOs
1.0
4.7040 0.0000 0.0000
0.0000 4.7040 0.0000
0.0000 0.0000 4.9175
Mn Os Hg Zr
2 1 1 1
Direct
0.0000 0.5000 0.0000 Mn
0.5000 0.0000 0.0000 Mn
0.0000 0.0000 0.0000 Os
0.5000 0.5000 0.5000 Hg
0.0000 0.0000 0.5000 Zr
```

Summary:
final energy	-7.368	eV/atom
formation energy	0.91	eV/atom
space group	P4/mmm
D(E_F)	5.85	states/eV per cell

***

DFT (PBEsol) results for crystalline Li2VO2F at its relaxed geometry.

Structure (POSCAR):
```
Li2VO2F
1.0
3.8633 0.0000 0.0000
0.0000 4.0668 -0.0209
0.0000 -2.0001 6.4827
F Li V O
2 4 2 4
Direct
0.0000 0.5000 0.5000 F
0.5000 0.0000 0.5000 F
0.0000 0.3345 0.1690 Li
0.5000 0.5000 0.5000 Li
0.0000 0.6655 0.8310 Li
0.0000 0.0000 0.5000 Li
0.5000 0.1687 0.8374 V
0.5000 0.8313 0.1626 V
0.0000 0.8415 0.1831 O
0.0000 0.1585 0.8169 O
0.5000 0.3217 0.1435 O
0.5000 0.6783 0.8565 O
```

Summary:
final energy	-6.729	eV/atom
uncorrected formation energy	-2396	meV/atom
space group	Cmmm
D(E_F)	3.81	states/eV per cell

***

DFT (PBEsol) results for crystalline KSbO3 at its relaxed geometry.

Structure (POSCAR):
```
KSbO3
1.0
9.6327 0.0000 0.0000
0.0000 9.6327 0.0000
0.0000 0.0000 9.6327
Sb O K
12 36 12
Direct
0.1575 0.0000 0.5000 Sb
0.5000 0.1575 0.0000 Sb
0.0000 0.5000 0.1575 Sb
0.3425 0.5000 0.0000 Sb
0.8425 0.0000 0.5000 Sb
0.0000 0.3425 0.5000 Sb
0.5000 0.8425 0.0000 Sb
0.0000 0.5000 0.8425 Sb
0.5000 0.0000 0.3425 Sb
0.5000 0.0000 0.6575 Sb
0.0000 0.6575 0.5000 Sb
0.6575 0.5000 0.0000 Sb
0.1579 0.2104 0.4966 O
0.3610 0.0000 0.0000 O
0.5000 0.5000 0.1390 O
0.4966 0.8421 0.7896 O
0.5000 0.8610 0.5000 O
0.1390 0.5000 0.5000 O
0.8421 0.7896 0.4966 O
0.0000 0.0000 0.3610 O
0.9966 0.6579 0.2896 O
0.6579 0.7104 0.0034 O
0.6579 0.2896 0.9966 O
0.5000 0.5000 0.8610 O
0.2104 0.4966 0.1579 O
0.5034 0.1579 0.7896 O
0.5000 0.1390 0.5000 O
0.0000 0.6390 0.0000 O
0.2104 0.5034 0.8421 O
0.9966 0.3421 0.7104 O
0.4966 0.1579 0.2104 O
0.7104 0.9966 0.3421 O
0.1579 0.7896 0.5034 O
0.3421 0.2896 0.0034 O
0.7896 0.5034 0.1579 O
0.0034 0.3421 0.2896 O
0.3421 0.7104 0.9966 O
0.0034 0.6579 0.7104 O
0.2896 0.9966 0.6579 O
0.6390 0.0000 0.0000 O
0.0000 0.0000 0.6390 O
0.8610 0.5000 0.5000 O
0.0000 0.3610 0.0000 O
0.5034 0.8421 0.2104 O
0.7104 0.0034 0.6579 O
0.7896 0.4966 0.8421 O
0.8421 0.2104 0.5034 O
0.2896 0.0034 0.3421 O
0.8466 0.8466 0.1534 K
0.2500 0.2500 0.7500 K
0.8466 0.1534 0.8466 K
0.3466 0.3466 0.3466 K
0.1534 0.8466 0.8466 K
0.7500 0.2500 0.2500 K
0.6534 0.6534 0.3466 K
0.7500 0.7500 0.7500 K
0.3466 0.6534 0.6534 K
0.1534 0.1534 0.1534 K
0.2500 0.7500 0.2500 K
0.6534 0.3466 0.6534 K
```

Summary:
final energy	-5.945	eV/atom
uncorrected formation energy	-1657	meV/atom
space group	Pn-3
D(E_F)	0.00	states/eV per cell

***

DFT (PBEsol) results for crystalline LiCu at its relaxed geometry.

Structure (POSCAR):
```
LiCu
1.0
2.5238 0.0000 0.0000
0.0000 4.1858 0.0000
0.0000 0.0000 4.6600
Li Cu
2 2
Direct
0.5000 0.0000 0.1052 Li
0.0000 0.5000 0.8948 Li
0.0000 0.0000 0.5814 Cu
0.5000 0.5000 0.4186 Cu
```

Summary:
final energy	-3.139	eV/atom
formation energy	0.01	eV/atom
space group	Pmmn
D(E_F)	1.29	states/eV per cell

***

DFT (PBEsol) results for crystalline CaMgGeMo2 at its relaxed geometry.

Structure (POSCAR):
```
CaMgGeMo2
1.0
4.6956 0.0000 0.0000
0.0000 4.6956 0.0000
0.0000 0.0000 5.1910
Mg Mo Ca Ge
1 2 1 1
Direct
0.5000 0.5000 0.5000 Mg
0.0000 0.5000 0.0000 Mo
0.5000 0.0000 0.0000 Mo
0.0000 0.0000 0.5000 Ca
0.0000 0.0000 0.0000 Ge
```

Summary:
final energy	-5.535	eV/atom
formation energy	0.93	eV/atom
space group	P4/mmm
D(E_F)	5.07	states/eV per cell